No. 1
An optimized crystal structure of KSc3Te4. Source: Alexandria via LeMat-Bulk, functional PBE. Values from VASP.

Output
Density of states at the Fermi level = 0.4867 states/eV/atom
Spin magnetization = 0.000 μB/cell
Formation energy from raw total energies = -1.181 eV per atom

```
&SYSTEM
  ibrav = 0, nat = 16, ntyp = 3
/
ATOMIC_SPECIES
Sc 44.96 Sc.upf
K 39.10 K.upf
Te 127.60 Te.upf
CELL_PARAMETERS angstrom
-0.4713 -4.2025 -0.0581
0.7724 2.0912 -3.5941
29.4628 -3.3643 4.3740
ATOMIC_POSITIONS crystal
Sc 0.0000 0.0000 0.0000
Sc 0.0000 0.0000 0.5000
Sc 0.3333 0.6667 0.8876
Sc 0.6667 0.3333 0.1124
Sc 0.6667 0.3333 0.3876
Sc 0.3333 0.6667 0.6124
K 0.6667 0.3333 0.7500
K 0.3333 0.6667 0.2500
Te 0.6667 0.3333 0.9443
Te 0.3333 0.6667 0.0557
Te 0.3333 0.6667 0.4443
Te 0.6667 0.3333 0.5557
Te 0.0000 0.0000 0.8333
Te 0.0000 0.0000 0.1667
Te 0.0000 0.0000 0.3333
Te 0.0000 0.0000 0.6667
```

***

No. 2
An optimized crystal structure of NaSi2Pt5. Source: Alexandria via LeMat-Bulk, functional PBE. Values from VASP.

Output
Density of states at the Fermi level = 0.3631 states/eV/atom
Spin magnetization = 0.000 μB/cell
Formation energy from raw total energies = -0.627 eV per atom

```
&SYSTEM
  ibrav = 0, nat = 8, ntyp = 3
/
ATOMIC_SPECIES
Na 22.99 Na.upf
Si 28.09 Si.upf
Pt 195.08 Pt.upf
CELL_PARAMETERS angstrom
-1.9983 -2.8512 1.5965
2.3617 -0.9506 5.8535
-3.6073 2.5388 4.6137
ATOMIC_POSITIONS crystal
Na 0.0000 0.0000 0.0000
Si 0.7575 0.7425 0.7425
Si 0.2425 0.2575 0.2575
Pt 0.0000 0.5000 0.5000
Pt 0.6495 0.5527 0.1484
Pt 0.3505 0.4473 0.8516
Pt 0.3505 0.8516 0.4473
Pt 0.6495 0.1484 0.5527
```

***

No. 3
An optimized crystal structure of W2Au. Source: Alexandria via LeMat-Bulk, functional PBE. Values from VASP.

Output
Density of states at the Fermi level = 0.8256 states/eV/atom
Energy of formation = 1.33 eV/f.u.
Spin magnetization = 0.000 μB/cell

```
&SYSTEM
  ibrav = 0, nat = 3, ntyp = 2
/
ATOMIC_SPECIES
Au 196.97 Au.upf
W 183.84 W.upf
CELL_PARAMETERS angstrom
5.1590 0.0076 0.0000
3.0045 4.1939 0.0000
-4.0818 -2.1007 2.3541
ATOMIC_POSITIONS crystal
Au 0.0000 0.0000 0.0000
W 0.3188 0.3188 0.0000
W 0.6812 0.6812 0.0000
```

***

No. 4
An optimized crystal structure of NpPd2Pt4. Source: Alexandria via LeMat-Bulk, functional PBE. Values from VASP.

Output
Density of states at the Fermi level = 1.9735 states/eV/atom
Energy of formation = -1.85 eV/f.u.
Spin magnetization = 2.099 μB/cell

```
&SYSTEM
  ibrav = 0, nat = 7, ntyp = 3
/
ATOMIC_SPECIES
Np 237.00 Np.upf
Pd 106.42 Pd.upf
Pt 195.08 Pt.upf
CELL_PARAMETERS angstrom
-0.1627 -1.3724 3.4813
5.7045 0.9691 0.6486
-0.8760 5.3690 2.0756
ATOMIC_POSITIONS crystal
Np 0.5000 0.5000 0.5000
Pd 0.0000 0.7801 0.2199
Pd 0.0000 0.2199 0.7801
Pt 0.0000 0.7480 0.7480
Pt 0.0000 0.2520 0.2520
Pt 0.5000 0.0000 0.5000
Pt 0.5000 0.5000 0.0000
```

***

No. 5
An optimized crystal structure of KSeCl2. Source: Alexandria via LeMat-Bulk, functional PBE. Values from VASP.

Output
Density of states at the Fermi level = 0.9566 states/eV/atom
Spin magnetization = 0.002 μB/cell
Formation energy from raw total energies = -0.613 eV per atom

```
&SYSTEM
  ibrav = 0, nat = 4, ntyp = 3
/
ATOMIC_SPECIES
K 39.10 K.upf
Se 78.96 Se.upf
Cl 35.45 Cl.upf
CELL_PARAMETERS angstrom
-4.8171 2.5510 5.8718
-5.1042 -2.9357 5.4332
7.0299 -0.0079 -3.8434
ATOMIC_POSITIONS crystal
K 0.4632 0.4632 0.0000
Se 0.2440 0.7440 0.5000
Cl 0.0350 0.0350 0.0000
Cl 0.7578 0.2578 0.5000
```

***

No. 6
An optimized crystal structure of AlSbCl. Source: Alexandria via LeMat-Bulk, functional PBE. Values from VASP.

Output
Density of states at the Fermi level = 0.5202 states/eV/atom
Spin magnetization = 0.000 μB/cell
Formation energy from raw total energies = -0.147 eV per atom

```
&SYSTEM
  ibrav = 0, nat = 3, ntyp = 3
/
ATOMIC_SPECIES
Sb 121.76 Sb.upf
Al 26.98 Al.upf
Cl 35.45 Cl.upf
CELL_PARAMETERS angstrom
-4.0327 -5.5532 -3.6961
-0.0998 -5.1236 -5.8737
2.9831 3.7757 6.1324
ATOMIC_POSITIONS crystal
Sb 0.6294 0.6294 0.0000
Al 0.9881 0.9881 0.0000
Cl 0.3825 0.3825 0.0000
```

***

No. 7
An optimized crystal structure of Sb2CN. Source: Alexandria via LeMat-Bulk, functional PBE. Values from VASP.

Output
Density of states at the Fermi level = 0.6169 states/eV/atom
Spin magnetization = 0.000 μB/cell
Formation energy from raw total energies = 1.203 eV per atom

```
&SYSTEM
  ibrav = 0, nat = 8, ntyp = 3
/
ATOMIC_SPECIES
Sb 121.76 Sb.upf
C 12.01 C.upf
N 14.01 N.upf
CELL_PARAMETERS angstrom
5.6532 0.0000 0.0000
0.0000 5.6532 0.0000
2.8266 2.8266 4.5092
ATOMIC_POSITIONS crystal
Sb 0.6203 0.1250 0.2500
Sb 0.1297 0.6250 0.2500
Sb 0.3750 0.3797 0.7500
Sb 0.8750 0.8703 0.7500
C 0.5000 0.5000 0.0000
C 0.2500 0.7500 0.5000
N 0.0000 0.0000 0.0000
N 0.7500 0.2500 0.5000
```

***

No. 8
An optimized crystal structure of TaCo2ReAu. Source: Alexandria via LeMat-Bulk, functional PBE. Values from VASP.

Output
Density of states at the Fermi level = 1.9236 states/eV/atom
Energy of formation = 10.41 eV/f.u.
Spin magnetization = 4.131 μB/cell

```
&SYSTEM
  ibrav = 0, nat = 5, ntyp = 4
/
ATOMIC_SPECIES
Re 186.21 Re.upf
Co 58.93 Co.upf
Au 196.97 Au.upf
Ta 180.95 Ta.upf
CELL_PARAMETERS angstrom
-1.4516 -3.7047 -2.0284
-1.8517 -1.6121 4.2694
-3.8755 2.0210 -0.9177
ATOMIC_POSITIONS crystal
Re 0.5000 0.5000 0.5000
Co 0.0000 0.0000 0.5000
Co 0.5000 0.0000 0.0000
Au 0.0000 0.0000 0.0000
Ta 0.0000 0.5000 0.0000
```

***

No. 9
An optimized crystal structure of Rb2AgBi2. Source: Alexandria via LeMat-Bulk, functional PBE. Values from VASP.

Output
Density of states at the Fermi level = 0.6031 states/eV/atom
Energy of formation = -1.23 eV/f.u.
Spin magnetization = 0.000 μB/cell

```
&SYSTEM
  ibrav = 0, nat = 5, ntyp = 3
/
ATOMIC_SPECIES
Rb 85.47 Rb.upf
Ag 107.87 Ag.upf
Bi 208.98 Bi.upf
CELL_PARAMETERS angstrom
-2.5776 1.3011 3.7989
-4.1527 -5.6137 -0.8950
6.9539 -1.0624 2.0856
ATOMIC_POSITIONS crystal
Rb 0.7968 0.2968 0.5936
Rb 0.2032 0.7032 0.4064
Ag 0.0000 0.0000 0.0000
Bi 0.5000 0.7677 0.0000
Bi 0.5000 0.2323 0.0000
```

***

No. 10
An optimized crystal structure of CrCd. Source: Alexandria via LeMat-Bulk, functional PBE. Values from VASP.

Output
Density of states at the Fermi level = 1.0075 states/eV/atom
Energy of formation = 2.49 eV/f.u.
Spin magnetization = 5.924 μB/cell

```
&SYSTEM
  ibrav = 0, nat = 16, ntyp = 2
/
ATOMIC_SPECIES
Cr 52.00 Cr.upf
Cd 112.41 Cd.upf
CELL_PARAMETERS angstrom
-6.7059 -2.3436 -4.0319
-3.8849 -1.0992 7.1004
-2.5798 7.7470 -0.2122
ATOMIC_POSITIONS crystal
Cr 0.0946 0.0946 0.0946
Cr 0.0946 0.9054 0.9054
Cr 0.9054 0.0946 0.9054
Cr 0.9054 0.9054 0.0946
Cr 0.5946 0.5946 0.5946
Cr 0.5946 0.4054 0.4054
Cr 0.4054 0.5946 0.4054
Cr 0.4054 0.4054 0.5946
Cd 0.2873 0.2873 0.2873
Cd 0.2873 0.7127 0.7127
Cd 0.7127 0.2873 0.7127
Cd 0.7127 0.7127 0.2873
Cd 0.7873 0.7873 0.7873
Cd 0.7873 0.2127 0.2127
Cd 0.2127 0.7873 0.2127
Cd 0.2127 0.2127 0.7873
```

***

No. 11
An optimized crystal structure of Li2Pd2Au7. Source: Alexandria via LeMat-Bulk, functional PBE. Values from VASP.

Output
Density of states at the Fermi level = 0.3348 states/eV/atom
Energy of formation = -2.40 eV/f.u.
Spin magnetization = 0.000 μB/cell

```
&SYSTEM
  ibrav = 0, nat = 11, ntyp = 3
/
ATOMIC_SPECIES
Li 6.94 Li.upf
Pd 106.42 Pd.upf
Au 196.97 Au.upf
CELL_PARAMETERS angstrom
-0.8628 1.8788 -3.7284
6.8122 -0.2644 -1.7097
-3.8443 -6.3740 0.1150
ATOMIC_POSITIONS crystal
Li 0.3007 0.9235 0.6014
Li 0.6993 0.3220 0.3986
Pd 0.0000 0.6239 0.0000
Pd 0.5000 0.3270 0.0000
Au 0.1533 0.0652 0.3066
Au 0.1493 0.4806 0.2985
Au 0.5000 0.9285 0.0000
Au 0.3450 0.4663 0.6900
Au 0.6550 0.7764 0.3100
Au 0.8467 0.7585 0.6934
Au 0.8507 0.1820 0.7015
```

***

No. 12
An optimized crystal structure of ScZnTe2. Source: Alexandria via LeMat-Bulk, functional PBE. Values from VASP.

Output
Density of states at the Fermi level = 0.5749 states/eV/atom
Spin magnetization = 0.000 μB/cell
Formation energy from raw total energies = -0.533 eV per atom

```
&SYSTEM
  ibrav = 0, nat = 4, ntyp = 3
/
ATOMIC_SPECIES
Sc 44.96 Sc.upf
Te 127.60 Te.upf
Zn 65.41 Zn.upf
CELL_PARAMETERS angstrom
-0.6639 2.5842 -2.6040
-2.8759 1.3331 2.0562
2.3315 5.3723 4.7370
ATOMIC_POSITIONS crystal
Sc 0.5000 0.7500 0.7500
Te 0.0000 0.1332 0.9900
Te 0.0000 0.3668 0.5100
Zn 0.5000 0.2500 0.2500
```

***

Which of these has the lowest density of states at the Fermi level? Li2Pd2Au7

***

Please write out number 2 again, unchanged.
An optimized crystal structure of NaSi2Pt5. Source: Alexandria via LeMat-Bulk, functional PBE. Values from VASP.

Output
Density of states at the Fermi level = 0.3631 states/eV/atom
Spin magnetization = 0.000 μB/cell
Formation energy from raw total energies = -0.627 eV per atom

```
&SYSTEM
  ibrav = 0, nat = 8, ntyp = 3
/
ATOMIC_SPECIES
Na 22.99 Na.upf
Si 28.09 Si.upf
Pt 195.08 Pt.upf
CELL_PARAMETERS angstrom
-1.9983 -2.8512 1.5965
2.3617 -0.9506 5.8535
-3.6073 2.5388 4.6137
ATOMIC_POSITIONS crystal
Na 0.0000 0.0000 0.0000
Si 0.7575 0.7425 0.7425
Si 0.2425 0.2575 0.2575
Pt 0.0000 0.5000 0.5000
Pt 0.6495 0.5527 0.1484
Pt 0.3505 0.4473 0.8516
Pt 0.3505 0.8516 0.4473
Pt 0.6495 0.1484 0.5527
```

***

spin magnetization of number 8 (TaCo2ReAu)? 4.131 μB/cell